YMgMn3 | Alexandria | PBE | relaxed; ΔE to the lowest computed polymorph = 0 meV per atom; DOS at the Fermi energy = 1.42 states/eV per atom; raw total energy = -30.84 eV per cell; spin magnetization = 10.5 μB/cell
1.0
4.7643 0.0000 0.0000
0.0000 4.7643 0.0000
0.0000 0.0000 4.7643
Y Mg Mn
1 1 3
direct
0.0000 0.0000 0.0000 Y
0.5000 0.5000 0.5000 Mg
0.0000 0.5000 0.5000 Mn
0.5000 0.0000 0.5000 Mn
0.5000 0.5000 0.0000 Mn



YMg4Mn | Alexandria | PBE | relaxed; DOS at the Fermi energy = 1.02 states/eV per atom; raw total energy = -20.81 eV per cell; spin magnetization = 2.8 μB/cell
1.0
0.0000 4.1061 4.1061
4.1061 0.0000 4.1061
4.1061 4.1061 0.0000
Y Mg Mn
1 4 1
direct
0.0000 0.0000 0.0000 Y
0.1263 0.6246 0.6246 Mg
0.6246 0.1263 0.6246 Mg
0.6246 0.6246 0.1263 Mg
0.6246 0.6246 0.6246 Mg
0.2500 0.2500 0.2500 Mn



Y2Mg2Mn | Alexandria | PBE | relaxed; DOS at the Fermi energy = 1.43 states/eV per atom; raw total energy = -45.71 eV per cell; spin magnetization = 1.1 μB/cell
1.0
6.9799 0.0000 0.0000
0.0000 6.9799 0.0000
0.0000 0.0000 4.9397
Y Mg Mn
4 4 2
direct
0.1799 0.3201 0.0000 Y
0.3201 0.8201 0.0000 Y
0.6799 0.1799 0.0000 Y
0.8201 0.6799 0.0000 Y
0.1425 0.6425 0.5000 Mg
0.3575 0.1425 0.5000 Mg
0.6425 0.8575 0.5000 Mg
0.8575 0.3575 0.5000 Mg
0.0000 0.0000 0.5000 Mn
0.5000 0.5000 0.5000 Mn



YMg2Mn | Alexandria | PBE | relaxed; DOS at the Fermi energy = 0.66 states/eV per atom; raw total energy = -18.49 eV per cell; spin magnetization = 2.8 μB/cell
1.0
3.3490 0.0000 0.0000
0.0000 3.3630 0.0000
-0.0137 0.0000 8.0089
Y Mg Mn
1 2 1
direct
0.0000 0.0000 0.0000 Y
0.0001 0.0000 0.4299 Mg
0.5002 0.5000 0.6851 Mg
0.5003 0.5000 0.2314 Mn